A plane-wave DFT calculation with PBE was carried out for crystalline Sr2MoN at its relaxed geometry.

Cell and atoms, written as CIF:
```
data_Sr2MoN
_chemical_formula_sum 'Sr8 Mo4 N4'
_space_group_name_H-M_alt 'I -4 2 d'
_space_group_IT_number 122
_space_group_name_Hall 'I -4 2bw'
_cell_length_a 10.6090
_cell_length_b 10.6090
_cell_length_c 3.9708
_cell_angle_alpha 90.00
_cell_angle_beta 90.00
_cell_angle_gamma 90.00
loop_
_atom_site_label
_atom_site_type_symbol
_atom_site_fract_x
_atom_site_fract_y
_atom_site_fract_z
Sr1 Sr 0.0664 0.2500 0.1250
Mo1 Mo 0.0000 0.0000 0.5000
N1 N 0.0000 0.0000 0.0000
```

Uncorrected formation energy   0.01 eV/atom
E_tot   -90.0 eV for the cell shown
Total magnetization   0.00 Bohr magnetons per cell